The following is a DFT calculation (PBE) of an optimized crystal structure of MgAlHg2.

Computed properties:
Space group ... No. 123
DFT formation energy ... -0.007 eV/atom
V ... 21.191 Å³/atom

a = 4.7682 Å, b = 4.7728 Å, c = 3.7247 Å
α = 90.00°, β = 90.00°, γ = 90.00°
Positions (direct):
Hg1 0.0000 0.0000 0.0000
Hg2 0.5000 0.5000 0.0000
Al1 0.0000 0.5000 0.5000
Mg1 0.5000 0.0000 0.5000



The following is a DFT calculation (PBE) of an optimized crystal structure of MgZr2Ti.

Computed properties:
Space group ... No. 12
DFT formation energy ... 0.053 eV/atom
V ... 21.682 Å³/atom

a = 3.0825 Å, b = 7.4232 Å, c = 7.7894 Å
α = 95.68°, β = 90.00°, γ = 101.98°
Positions (direct):
Zr1 0.7371 0.4742 0.3271
Zr2 0.2629 0.5258 0.6729
Zr3 0.9700 0.9400 0.7813
Zr4 0.0300 0.0600 0.2187
Ti1 0.4090 0.8180 0.4568
Ti2 0.5910 0.1820 0.5432
Mg1 0.3493 0.6985 0.0555
Mg2 0.6507 0.3015 0.9445



The following is a DFT calculation (PBE) of an optimized crystal structure of CeTl2ReO6.

Computed properties:
Space group ... No. 225
V ... 15.285 Å³/atom
Formation energy from raw total energies ... -18.451 eV/f.u.

a = 6.0014 Å, b = 6.0015 Å, c = 6.0020 Å
α = 59.99°, β = 60.00°, γ = 90.00°
Positions (direct):
Tl1 0.2500 0.7500 0.5000
Tl2 0.7500 0.2500 0.5000
O1 0.7271 0.7271 0.5458
O2 0.2730 0.7272 0.0000
O3 0.2728 0.2729 0.0001
O4 0.2729 0.2729 0.4542
O5 0.7272 0.7271 0.9999
O6 0.7270 0.2728 0.0000
Re1 0.5000 0.5000 0.0000
Ce1 0.0000 0.0000 0.0000



The following is a DFT calculation (PBE) of an optimized crystal structure of La12Tl5H2.

Computed properties:
Space group ... No. 12
V ... 31.527 Å³/atom

a = 8.9266 Å, b = 9.3447 Å, c = 9.0732 Å
α = 112.42°, β = 90.00°, γ = 118.53°
Positions (direct):
Tl1 0.0000 0.0000 0.5000
Tl2 0.7289 0.4578 0.4372
Tl3 0.2711 0.5422 0.5628
Tl4 0.1982 0.3964 0.9886
Tl5 0.8018 0.6036 0.0114
La1 0.8002 0.2486 0.0502
La2 0.5777 0.6786 0.3383
La3 0.1008 0.6786 0.3383
La4 0.8992 0.3214 0.6617
La5 0.1998 0.7514 0.9498
La6 0.4223 0.3214 0.6617
La7 0.4845 0.9689 0.6693
La8 0.9308 0.8615 0.7766
La9 0.5516 0.7514 0.9498
La10 0.4484 0.2486 0.0502
La11 0.0692 0.1385 0.2234
La12 0.5155 0.0311 0.3307
H1 0.8372 0.0000 0.0000
H2 0.1628 0.0000 0.0000



The following is a DFT calculation (PBE) of an optimized crystal structure of Tb3P2Cl.

Computed properties:
Space group ... No. 63
V ... 27.276 Å³/atom
Formation energy from raw total energies ... -7.592 eV/f.u.

a = 4.0421 Å, b = 7.5721 Å, c = 11.0967 Å
α = 90.00°, β = 90.00°, γ = 105.48°
Positions (direct):
P1 0.3538 0.7076 0.7500
P2 0.0000 0.0000 0.5000
P3 0.6462 0.2924 0.2500
P4 0.0000 0.0000 0.0000
Tb1 0.0170 0.0339 0.2500
Tb2 0.3688 0.7376 0.9947
Tb3 0.6312 0.2624 0.4947
Tb4 0.9830 0.9661 0.7500
Tb5 0.6312 0.2624 0.0053
Tb6 0.3688 0.7376 0.5053
Cl1 0.6279 0.2558 0.7500
Cl2 0.3721 0.7442 0.2500



The following is a DFT calculation (PBE) of an optimized crystal structure of Cs3CdAu3.

Computed properties:
ΔE to the lowest computed polymorph ... 20.3 meV per atom
Space group ... No. 12
DFT formation energy ... -0.262 eV/atom
V ... 41.871 Å³/atom

a = 8.1836 Å, b = 8.1836 Å, c = 9.4232 Å
α = 95.36°, β = 95.36°, γ = 109.72°
Positions (direct):
Cd1 0.2392 0.2392 0.0217
Cd2 0.7608 0.7608 0.9783
Cs1 0.2441 0.7559 0.0000
Cs2 0.8103 0.1897 0.5000
Cs3 0.1897 0.8103 0.5000
Cs4 0.6365 0.6365 0.3412
Cs5 0.7559 0.2441 0.0000
Cs6 0.3635 0.3635 0.6588
Au1 0.0084 0.0084 0.2065
Au2 0.9916 0.9916 0.7935
Au3 0.6060 0.8359 0.7159
Au4 0.3940 0.1641 0.2841
Au5 0.8359 0.6060 0.7159
Au6 0.1641 0.3940 0.2841



The following is a DFT calculation (PBE) of an optimized crystal structure of Cu2NiPt5.

Computed properties:
Space group ... No. 55
DFT formation energy ... -0.110 eV/atom
V ... 14.248 Å³/atom

a = 3.8238 Å, b = 5.4717 Å, c = 10.8959 Å
α = 90.00°, β = 90.00°, γ = 90.00°
Positions (direct):
Pt1 0.0000 0.5000 0.5000
Pt2 0.0000 0.4809 0.7536
Pt3 0.0000 0.0000 0.0000
Pt4 0.5000 0.7304 0.8808
Pt5 0.0000 0.5191 0.2464
Pt6 0.0000 0.9809 0.7464
Pt7 0.5000 0.2696 0.1192
Pt8 0.5000 0.7696 0.3808
Pt9 0.0000 0.0191 0.2536
Pt10 0.5000 0.2304 0.6192
Cu1 0.5000 0.7379 0.6252
Cu2 0.5000 0.2379 0.8748
Cu3 0.5000 0.7621 0.1252
Cu4 0.5000 0.2621 0.3748
Ni1 0.0000 0.5000 0.0000
Ni2 0.0000 0.0000 0.5000



The following is a DFT calculation (PBE) of an optimized crystal structure of La2CrCuTc.

Computed properties:
Space group ... No. 123
DFT formation energy ... 0.466 eV/atom
V ... 27.692 Å³/atom

a = 5.4884 Å, b = 4.5966 Å, c = 5.4884 Å
α = 90.00°, β = 90.00°, γ = 90.00°
Positions (direct):
Cu1 0.5000 0.5000 0.5000
Cr1 0.0000 0.5000 0.0000
La1 0.0000 0.0000 0.5000
La2 0.5000 0.0000 0.0000
Tc1 0.0000 0.0000 0.0000



no.,energy (eV per atom),density of states at the Fermi level (states/eV/f.u.)
1,-1.49,1.40
2,-6.59,3.85
3,-7.13,5.35
4,-4.30,24.91
5,-5.69,3.66
6,-2.16,0.26
7,-5.63,7.38
8,-6.32,3.93